Density functional theory data (PBE+U) for crystalline KTl2MoO6 at its relaxed geometry.

- Density: 5.10 g cm⁻³
- Total magnetization: 0.00 μB/atom
- Electronic total energy: -5.448 eV/atom

Structure (CIF):
```
data_KTl2MoO6
_cell_length_a 10.8167
_cell_length_b 11.8586
_cell_length_c 7.1968
_cell_angle_alpha 90.00
_cell_angle_beta 115.52
_cell_angle_gamma 90.00
_symmetry_space_group_name_H-M 'C 1 2/c 1'
_symmetry_Int_Tables_number 15
loop_
_symmetry_equiv_pos_as_xyz
'x,y,z'
'-x,-y,-z'
'-x,y,-z+1/2'
'x,-y,z+1/2'
'x+1/2,y+1/2,z'
'-x+1/2,-y+1/2,-z'
'-x+1/2,y+1/2,-z+1/2'
'x+1/2,-y+1/2,z+1/2'
loop_
_atom_site_label
_atom_site_type_symbol
_atom_site_fract_x
_atom_site_fract_y
_atom_site_fract_z
K1 K 0.0000 0.1304 0.2500
Tl1 Tl 0.1351 0.4343 0.1745
Mo1 Mo 0.0000 0.1771 0.7500
O1 O 0.0960 0.2580 0.9775
O2 O 0.1120 0.0857 0.6901
O3 O 0.1124 0.4262 0.4624
```